Entry 1:
# CdAgAs2I

A geometry-optimized CdAgAs2I structure (PBE, Alexandria).

Summary:
**V**: 29.236 Å³/atom
**Raw formation energy**: 0.7783 eV/atom

Lattice parameters (Å, degrees): 5.185 5.185 5.438 90.00 90.00 90.00
Space group P4/mmm (No. 123)
Symmetry-distinct sites (fractional):
Cd1 0.000 0.000 0.000 x1
Ag1 0.000 0.000 0.500 x1
As1 0.000 0.500 0.000 x2
I1 0.500 0.500 0.500 x1

***

Entry 2:
# K3BBr

A geometry-optimized K3BBr structure (PBE, Alexandria).

Summary:
**V**: 42.633 Å³/atom
**Raw formation energy**: 0.1431 eV/atom

Lattice parameters (Å, degrees): 5.974 5.974 5.974 90.00 90.00 90.00
Space group Pm-3m (No. 221)
Symmetry-distinct sites (fractional):
K1 0.000 0.000 0.500 x3
B1 0.000 0.000 0.000 x1
Br1 0.500 0.500 0.500 x1

***

Entry 3:
# ZnCIO2

A geometry-optimized ZnCIO2 structure (PBE, Alexandria).

Summary:
**V**: 12.944 Å³/atom
**Raw formation energy**: 1.1277 eV/atom

Lattice parameters (Å, degrees): 3.785 3.785 4.517 90.00 90.00 90.00
Space group P4/mmm (No. 123)
Symmetry-distinct sites (fractional):
Zn1 0.000 0.000 0.000 x1
C1 0.500 0.500 0.500 x1
I1 0.500 0.500 0.000 x1
O1 0.000 0.500 0.500 x2

***

Entry 4:
# Tl2ReOs

A geometry-optimized Tl2ReOs structure (PBE, Alexandria).

Summary:
**V**: 18.414 Å³/atom
**Formation energy from the elements**: 522 kJ/mol of formula units

Lattice parameters (Å, degrees): 3.307 3.328 6.691 90.00 90.00 90.00
Space group Pmmm (No. 47)
Symmetry-distinct sites (fractional):
Tl1 0.000 0.000 0.246 x2
Re1 0.500 0.500 0.500 x1
Os1 0.500 0.500 0.000 x1

***

Entry 5:
# PmDy4Ho7

A geometry-optimized PmDy4Ho7 structure (PBE, Alexandria).

Summary:
**V**: 32.573 Å³/atom
**Formation energy from the elements**: 322 kJ/mol of formula units

Lattice parameters (Å, degrees): 12.024 5.843 12.600 90.00 117.99 90.00
Space group C2/m (No. 12)
Symmetry-distinct sites (fractional):
Pm1 0.000 0.000 0.000 x2
Dy1 0.134 0.500 0.775 x4
Dy2 0.247 0.000 0.682 x4
Ho1 0.000 0.500 0.000 x2
Ho2 0.060 0.000 0.327 x4
Ho3 0.134 0.500 0.502 x4
Ho4 0.211 0.000 0.923 x4

***

Entry 6:
# HoEr3Th3

A geometry-optimized HoEr3Th3 structure (PBE, Alexandria).

Summary:
**V**: 31.819 Å³/atom
**Formation energy from the elements**: 26 kJ/mol of formula units

Lattice parameters (Å, degrees): 9.4127 9.4127 5.8051 90.00 90.00 120.00
Space group P6_3/m (No. 176)
Symmetry-distinct sites (fractional):
Ho1 0.3333 0.6667 0.2500 x2
Er1 0.0920 0.6205 0.7500 x6
Th1 0.0474 0.8118 0.2500 x6

***

Entry 7:
# La2InCo

A geometry-optimized La2InCo structure (PBE, Alexandria).

Summary:
**V**: 26.023 Å³/atom
**Formation energy from the elements**: -11 kJ/mol of formula units

Lattice parameters (Å, degrees): 3.382 3.382 9.101 90.00 90.00 90.00
Space group P4mm (No. 99)
Symmetry-distinct sites (fractional):
La1 0.000 0.000 0.000 x1
La2 0.500 0.500 0.377 x1
In1 0.500 0.500 0.733 x1
Co1 0.000 0.000 0.575 x1

***

Entry 8:
# Li3HgCl

A geometry-optimized Li3HgCl structure (PBE, Alexandria).

Summary:
**V**: 27.506 Å³/atom
**Raw formation energy**: -0.2039 eV/atom

Lattice parameters (Å, degrees): 5.162 5.162 5.162 90.00 90.00 90.00
Space group Pm-3m (No. 221)
Symmetry-distinct sites (fractional):
Li1 0.000 0.000 0.500 x3
Hg1 0.000 0.000 0.000 x1
Cl1 0.500 0.500 0.500 x1

***

Entry 9:
# CuHgMo

A geometry-optimized CuHgMo structure (PBE, Alexandria).

Summary:
**V**: 20.128 Å³/atom
**Formation energy from the elements**: 332 kJ/mol of formula units

Lattice parameters (Å, degrees): 6.228 6.228 6.228 90.00 90.00 90.00
Space group F-43m (No. 216)
Symmetry-distinct sites (fractional):
Cu1 0.000 0.000 0.000 x4
Hg1 0.000 0.000 0.500 x4
Mo1 0.250 0.250 0.250 x4

***

Entry 10:
# ZrTa3Se

A geometry-optimized ZrTa3Se structure (PBE, Alexandria).

Summary:
**V**: 21.350 Å³/atom
**Raw formation energy**: 0.6040 eV/atom

Lattice parameters (Å, degrees): 4.744 4.744 4.744 90.00 90.00 90.00
Space group Pm-3m (No. 221)
Symmetry-distinct sites (fractional):
Zr1 0.000 0.000 0.000 x1
Ta1 0.000 0.500 0.500 x3
Se1 0.500 0.500 0.500 x1

***

Entry 11:
# RbTiP3

A geometry-optimized RbTiP3 structure (PBE, Alexandria).

Summary:
**V**: 26.222 Å³/atom
**Formation energy from the elements**: 1039 kJ/mol of formula units

Lattice parameters (Å, degrees): 5.080 5.080 5.080 90.00 90.00 90.00
Space group Pm-3m (No. 221)
Symmetry-distinct sites (fractional):
Rb1 0.000 0.000 0.000 x1
Ti1 0.500 0.500 0.500 x1
P1 0.000 0.000 0.500 x3

***

Entry 12:
# Sc2Br

A geometry-optimized Sc2Br structure (PBE, Alexandria).

Summary:
**V**: 23.437 Å³/atom
**Raw formation energy**: -0.0409 eV/atom

Lattice parameters (Å, degrees): 4.502 4.502 3.469 90.00 90.00 90.00
Space group P4/mmm (No. 123)
Symmetry-distinct sites (fractional):
Sc1 0.000 0.500 0.000 x2
Br1 0.000 0.000 0.500 x1